YTaAl2 | Alexandria via LeMat-Bulk | PBE | optimized geometry; DFT formation energy = 0.488 eV/atom; V = 23.691 A^3/atom; uncorrected energy = -5.962 eV per atom
1.0
4.449 0.000 0.000
0.000 4.449 0.000
2.224 2.224 9.576
Y Al Ta
2 4 2
Direct
0.500 0.500 0.000 Y
0.250 0.750 0.500 Y
0.721 0.125 0.250 Al
0.029 0.625 0.250 Al
0.375 0.279 0.750 Al
0.875 0.971 0.750 Al
0.000 0.000 0.000 Ta
0.750 0.250 0.500 Ta